1.
! RbMgO2F | the Alexandria database | PBE-GGA | optimized geometry; values from VASP
! - Formation energy (no corrections): -1.677 eV per atom
! - Total energy: -4.55 eV/atom
&SYSTEM
  ibrav = 0, nat = 5, ntyp = 4
/
ATOMIC_SPECIES
Rb 85.47 Rb.upf
Mg 24.30 Mg.upf
O 16.00 O.upf
F 19.00 F.upf
CELL_PARAMETERS angstrom
4.1567 0.0000 0.0000
0.0000 4.1567 0.0000
0.0000 0.0000 4.2827
ATOMIC_POSITIONS angstrom
Rb 0.0000 0.0000 0.0000
Mg 2.0783 2.0783 2.1413
O 0.0000 2.0783 2.1413
O 2.0783 0.0000 2.1413
F 2.0783 2.0783 0.0000

2.
! Rb2MgOF6 | the Alexandria database | PBE-GGA | optimized geometry; values from VASP
! - Formation energy (no corrections): -2.026 eV per atom
! - Total energy: -4.00 eV/atom
&SYSTEM
  ibrav = 0, nat = 10, ntyp = 4
/
ATOMIC_SPECIES
Rb 85.47 Rb.upf
Mg 24.30 Mg.upf
O 16.00 O.upf
F 19.00 F.upf
CELL_PARAMETERS angstrom
-2.7556 2.7556 5.1458
2.7556 -2.7556 5.1458
2.7556 2.7556 -5.1458
ATOMIC_POSITIONS angstrom
Rb 2.7556 0.0000 2.5729
Rb 0.0000 2.7556 2.5729
Mg 0.0000 0.0000 0.0000
O 0.0000 0.0000 5.1458
F 0.0000 0.0000 1.8990
F 1.4922 1.4922 0.0000
F 1.2633 -1.2633 5.1458
F -1.2633 1.2633 5.1458
F 1.2633 1.2633 5.1458
F 0.0000 0.0000 8.3925

3.
! RbMgO2F | the Alexandria database | PBE-GGA | optimized geometry; values from VASP
! - Formation energy (no corrections): -0.189 eV per atom
! - Total energy: -3.06 eV/atom
&SYSTEM
  ibrav = 0, nat = 5, ntyp = 4
/
ATOMIC_SPECIES
Rb 85.47 Rb.upf
Mg 24.30 Mg.upf
O 16.00 O.upf
F 19.00 F.upf
CELL_PARAMETERS angstrom
4.3516 0.0000 0.0000
0.0000 4.3516 0.0000
0.0000 0.0000 4.7597
ATOMIC_POSITIONS angstrom
Rb 0.0000 0.0000 0.0000
Mg 2.1758 2.1758 2.3798
O 0.0000 2.1758 0.0000
O 2.1758 0.0000 0.0000
F 0.0000 0.0000 2.3798

Copy entry 3 word for word.
! RbMgO2F | the Alexandria database | PBE-GGA | optimized geometry; values from VASP
! - Formation energy (no corrections): -0.189 eV per atom
! - Total energy: -3.06 eV/atom
&SYSTEM
  ibrav = 0, nat = 5, ntyp = 4
/
ATOMIC_SPECIES
Rb 85.47 Rb.upf
Mg 24.30 Mg.upf
O 16.00 O.upf
F 19.00 F.upf
CELL_PARAMETERS angstrom
4.3516 0.0000 0.0000
0.0000 4.3516 0.0000
0.0000 0.0000 4.7597
ATOMIC_POSITIONS angstrom
Rb 0.0000 0.0000 0.0000
Mg 2.1758 2.1758 2.3798
O 0.0000 2.1758 0.0000
O 2.1758 0.0000 0.0000
F 0.0000 0.0000 2.3798

Copy entry 1 word for word.
! RbMgO2F | the Alexandria database | PBE-GGA | optimized geometry; values from VASP
! - Formation energy (no corrections): -1.677 eV per atom
! - Total energy: -4.55 eV/atom
&SYSTEM
  ibrav = 0, nat = 5, ntyp = 4
/
ATOMIC_SPECIES
Rb 85.47 Rb.upf
Mg 24.30 Mg.upf
O 16.00 O.upf
F 19.00 F.upf
CELL_PARAMETERS angstrom
4.1567 0.0000 0.0000
0.0000 4.1567 0.0000
0.0000 0.0000 4.2827
ATOMIC_POSITIONS angstrom
Rb 0.0000 0.0000 0.0000
Mg 2.0783 2.0783 2.1413
O 0.0000 2.0783 2.1413
O 2.0783 0.0000 2.1413
F 2.0783 2.0783 0.0000